The following is a SCAN calculation of a PBEsol-optimized structure of CaGa3Pt, from the Alexandria database.

Cell and atoms, written as POSCAR:
```
CaGa3Pt
1.0
5.1438 0.0000 0.0000
0.0000 5.1438 0.0000
0.0000 0.0000 5.1438
Ca Ga Pt
1 3 1
Direct
0.0000 0.0000 0.0000 Ca
0.0000 0.0000 0.5000 Ga
0.0000 0.5000 0.0000 Ga
0.5000 0.0000 0.0000 Ga
0.5000 0.5000 0.5000 Pt
```

Values from the calculation:
- energy above the most stable polymorph in this dataset (meV per atom) = 2209
- DFT formation energy (eV per formula unit) = 7.08
- energy (eV per atom) = -24.3638
- theoretical density (g/cm3) = 5.421
- total magnetization (Bohr magnetons per cell) = 0.00